1.
Ba2TbI: relaxed, PBE.

```
4
Lattice="2.023 1.168 12.704 -2.023 1.168 12.704 0.000 -2.336 12.704" Properties=species:S:1:pos:R:3 pbc="T T T"
Ba 0.000 0.000 3.670
Ba 0.000 0.000 34.443
Tb 0.000 0.000 0.000
I 0.000 0.000 19.056
```

Formation energy (no corrections) in kJ/mol of atoms: -20.8
Raw total energy in eV per atom: -2.722
Volume in Å³ per cell: 180.17
Total magnetic moment in μB/atom: 0.11
DOS at the Fermi energy in states/eV/cell: 5.22
Space-group type: R-3m

---

2.
BaTbI2: relaxed, PBE.

```
4
Lattice="2.057 1.188 11.387 -2.057 1.188 11.387 0.000 -2.375 11.387" Properties=species:S:1:pos:R:3 pbc="T T T"
Ba 0.000 0.000 0.000
Tb 0.000 0.000 17.080
I 0.000 0.000 3.619
I 0.000 0.000 30.541
```

Formation energy (no corrections) in kJ/mol of atoms: -80.7
Raw total energy in eV per atom: -3.250
Volume in Å³ per cell: 166.92
Total magnetic moment in μB/atom: 0.00
DOS at the Fermi energy in states/eV/cell: 3.91
Space-group type: R-3m

---

3.
BaTbTlI6: relaxed, PBE.

```
18
Lattice="8.474 0.000 0.000 -4.237 7.338 0.000 0.000 0.000 14.727" Properties=species:S:1:pos:R:3 pbc="T T T"
Ba 0.000 4.892 3.682
Ba 4.237 2.446 11.045
Tb 0.000 4.892 11.045
Tb 4.237 2.446 3.682
Tl 0.000 0.000 0.000
Tl 0.000 0.000 7.363
I -1.278 2.760 9.257
I -2.486 4.852 12.834
I 1.278 2.760 12.834
I -1.208 7.065 9.257
I 3.029 0.273 1.893
I 1.751 2.486 5.470
I 2.486 4.852 9.257
I 1.208 7.065 12.834
I 5.445 0.273 5.470
I 2.959 4.579 1.893
I 6.723 2.486 1.893
I 5.514 4.579 5.470
```

Formation energy (no corrections) in kJ/mol of atoms: -130.5
Raw total energy in eV per atom: -3.377
Volume in Å³ per cell: 915.75
Total magnetic moment in μB/atom: 0.00
DOS at the Fermi energy in states/eV/cell: 0.00
Space-group type: P-31c